Record 1
# Rb14HgAu (GGA-PBE, optimized geometry)
# space-group type = Amm2 (38)
# formation energy = -0.036 eV/atom
data_Rb14HgAu
_chemical_formula_sum 'Rb14 Hg1 Au1'
_symmetry_space_group_name_H-M 'P 1'
_symmetry_Int_Tables_number 1
_cell_length_a 9.7370
_cell_length_b 9.7370
_cell_length_c 13.0551
_cell_angle_alpha 90.00
_cell_angle_beta 90.00
_cell_angle_gamma 101.50
loop_
_symmetry_equiv_pos_as_xyz
'x,y,z'
loop_
_atom_site_label
_atom_site_type_symbol
_atom_site_fract_x
_atom_site_fract_y
_atom_site_fract_z
_atom_site_occupancy
Rb1 Rb 0.3842 0.6158 0.5000 1
Rb2 Rb 0.8309 0.1691 0.5000 1
Rb3 Rb 0.8435 0.6032 0.0000 1
Rb4 Rb 0.9001 0.6848 0.5000 1
Rb5 Rb 0.3968 0.1565 0.0000 1
Rb6 Rb 0.3152 0.0999 0.5000 1
Rb7 Rb 0.6965 0.9368 0.8217 1
Rb8 Rb 0.6965 0.9368 0.1783 1
Rb9 Rb 0.0632 0.3035 0.8217 1
Rb10 Rb 0.0632 0.3035 0.1783 1
Rb11 Rb 0.2196 0.7804 0.8035 1
Rb12 Rb 0.2196 0.7804 0.1965 1
Rb13 Rb 0.5951 0.4049 0.7632 1
Rb14 Rb 0.5951 0.4049 0.2368 1
Hg1 Hg 0.4190 0.5810 0.0000 1
Au1 Au 0.7616 0.2384 0.0000 1



Record 2
# Dy3GaP2Ir9 (GGA-PBE, optimized geometry)
# space-group type = P-3m1 (164)
# formation energy = -0.407 eV/atom
data_Dy3GaP2Ir9
_chemical_formula_sum 'Dy3 Ga1 P2 Ir9'
_symmetry_space_group_name_H-M 'P 1'
_symmetry_Int_Tables_number 1
_cell_length_a 5.6080
_cell_length_b 5.6080
_cell_length_c 10.3627
_cell_angle_alpha 90.00
_cell_angle_beta 90.00
_cell_angle_gamma 120.00
loop_
_symmetry_equiv_pos_as_xyz
'x,y,z'
loop_
_atom_site_label
_atom_site_type_symbol
_atom_site_fract_x
_atom_site_fract_y
_atom_site_fract_z
_atom_site_occupancy
Dy1 Dy 0.3333 0.6667 0.5795 1
Dy2 Dy 0.0000 0.0000 0.0000 1
Dy3 Dy 0.6667 0.3333 0.4205 1
Ga1 Ga 0.0000 0.0000 0.5000 1
P1 P 0.3333 0.6667 0.1606 1
P2 P 0.6667 0.3333 0.8394 1
Ir1 Ir 0.8403 0.1597 0.6928 1
Ir2 Ir 0.8403 0.6806 0.6928 1
Ir3 Ir 0.3194 0.1597 0.6928 1
Ir4 Ir 0.6806 0.8403 0.3072 1
Ir5 Ir 0.1597 0.3194 0.3072 1
Ir6 Ir 0.1597 0.8403 0.3072 1
Ir7 Ir 0.5000 0.0000 0.0000 1
Ir8 Ir 0.0000 0.5000 0.0000 1
Ir9 Ir 0.5000 0.5000 0.0000 1



Record 3
# SrPtRh (GGA-PBE, optimized geometry)
# space-group type = P3m1 (156)
# energy above the most stable polymorph in this dataset = 1027 meV per atom
# formation energy = 0.420 eV/atom
data_SrPtRh
_chemical_formula_sum 'Sr1 Pt1 Rh1'
_symmetry_space_group_name_H-M 'P 1'
_symmetry_Int_Tables_number 1
_cell_length_a 3.1896
_cell_length_b 3.1896
_cell_length_c 6.9438
_cell_angle_alpha 90.00
_cell_angle_beta 90.00
_cell_angle_gamma 120.00
loop_
_symmetry_equiv_pos_as_xyz
'x,y,z'
loop_
_atom_site_label
_atom_site_type_symbol
_atom_site_fract_x
_atom_site_fract_y
_atom_site_fract_z
_atom_site_occupancy
Pt1 Pt 0.0000 0.0000 0.0197 1
Rh1 Rh 0.6667 0.3333 0.3173 1
Sr1 Sr 0.3333 0.6667 0.6631 1



Record 4
# AcNdCCl (GGA-PBE, optimized geometry)
# space-group type = R3m (160)
# raw formation energy = -913 meV per atom
data_AcNdCCl
_chemical_formula_sum 'Ac1 Nd1 C1 Cl1'
_symmetry_space_group_name_H-M 'P 1'
_symmetry_Int_Tables_number 1
_cell_length_a 3.8578
_cell_length_b 3.8578
_cell_length_c 7.8747
_cell_angle_alpha 90.00
_cell_angle_beta 104.18
_cell_angle_gamma 120.00
loop_
_symmetry_equiv_pos_as_xyz
'x,y,z'
loop_
_atom_site_label
_atom_site_type_symbol
_atom_site_fract_x
_atom_site_fract_y
_atom_site_fract_z
_atom_site_occupancy
Ac1 Ac 0.5098 0.1528 0.6781 1
Nd1 Nd 0.0991 0.9475 0.0618 1
C1 C 0.3146 0.5552 0.8851 1
Cl1 Cl 0.9544 0.3752 0.3447 1



Record 5
# Sr3Al (GGA-PBE, optimized geometry)
# space-group type = I4/mmm (139)
# formation energy = 0.066 eV/atom
data_Sr3Al
_chemical_formula_sum 'Sr3 Al1'
_symmetry_space_group_name_H-M 'P 1'
_symmetry_Int_Tables_number 1
_cell_length_a 6.0062
_cell_length_b 6.0062
_cell_length_c 6.0261
_cell_angle_alpha 119.89
_cell_angle_beta 119.89
_cell_angle_gamma 90.00
loop_
_symmetry_equiv_pos_as_xyz
'x,y,z'
loop_
_atom_site_label
_atom_site_type_symbol
_atom_site_fract_x
_atom_site_fract_y
_atom_site_fract_z
_atom_site_occupancy
Sr1 Sr 0.7500 0.2500 0.5000 1
Sr2 Sr 0.2500 0.7500 0.5000 1
Sr3 Sr 0.5000 0.5000 0.0000 1
Al1 Al 0.0000 0.0000 0.0000 1



Record 6
# Be5Ni4Pd (GGA-PBE, optimized geometry)
# space-group type = P4/mmm (123)
# formation energy = -0.483 eV/atom
data_Be5Ni4Pd
_chemical_formula_sum 'Be5 Ni4 Pd1'
_symmetry_space_group_name_H-M 'P 1'
_symmetry_Int_Tables_number 1
_cell_length_a 2.6857
_cell_length_b 2.6857
_cell_length_c 13.0734
_cell_angle_alpha 90.00
_cell_angle_beta 90.00
_cell_angle_gamma 90.00
loop_
_symmetry_equiv_pos_as_xyz
'x,y,z'
loop_
_atom_site_label
_atom_site_type_symbol
_atom_site_fract_x
_atom_site_fract_y
_atom_site_fract_z
_atom_site_occupancy
Be1 Be 0.5000 0.5000 0.1155 1
Be2 Be 0.5000 0.5000 0.3063 1
Be3 Be 0.5000 0.5000 0.5000 1
Be4 Be 0.5000 0.5000 0.6937 1
Be5 Be 0.5000 0.5000 0.8845 1
Ni1 Ni 0.0000 0.0000 0.2092 1
Ni2 Ni 0.0000 0.0000 0.4029 1
Ni3 Ni 0.0000 0.0000 0.5971 1
Ni4 Ni 0.0000 0.0000 0.7908 1
Pd1 Pd 0.0000 0.0000 0.0000 1



no.,N(E_F) (states/eV per atom),volume (Å³/f.u.),total energy (eV/atom)
1,0.77,1212.89,-1.11
2,0.60,282.24,-7.57
3,1.57,61.18,-4.60
4,0.57,97.35,-5.90
5,0.76,154.22,-2.13
6,0.39,94.30,-5.18